Entry 1:
A plane-wave DFT calculation with GGA-PBEsol was carried out for an optimized crystal structure of Cd2AsIr.

## Properties
VASP energy   -4.096 eV per atom

Structure (POSCAR):
```
Cd2AsIr
1.0
3.999 0.000 0.000
0.000 3.999 0.000
-2.000 -2.000 4.324
As Ir Cd
1 1 2
Cartesian
2.000 2.000 0.000
0.000 0.000 0.000
2.000 0.000 2.162
0.000 2.000 2.162
```

Entry 2:
A plane-wave DFT calculation with GGA-PBEsol was carried out for an optimized crystal structure of Mg2CdAs.

## Properties
VASP energy   -2.622 eV per atom

Structure (POSCAR):
```
Mg2CdAs
1.0
-1.431 1.007 2.879
-3.658 -1.324 -1.355
3.651 -5.480 1.760
As Mg Cd
1 2 1
Cartesian
1.056 -5.383 2.407
0.051 -0.258 0.115
-0.047 -2.902 2.963
-1.392 -2.892 0.320
```

no.,energy relative to the elements (meV per atom)
1,235
2,-187